Below is an optimized crystal structure of AcSc4Cd5, with properties calculated at the PBE-GGA level.

Cell and atoms, written as POSCAR:
```
AcSc4Cd5
1.0
3.606 0.000 0.000
0.000 3.606 0.000
0.000 0.000 18.604
Ac Sc Cd
1 4 5
direct
0.000 0.000 0.000
0.000 0.000 0.221
0.000 0.000 0.407
0.000 0.000 0.593
0.000 0.000 0.779
0.500 0.500 0.131
0.500 0.500 0.314
0.500 0.500 0.500
0.500 0.500 0.686
0.500 0.500 0.869
```

Calculated values
Formation energy, kJ per mole of atoms: -25.8
Size of the total moment, μB per atom: 0.02
Space group: P4/mmm, No. 123

Below is an optimized crystal structure of LaBiPBr2, with properties calculated at the PBE-GGA level.

Cell and atoms, written as POSCAR:
```
LaBiPBr2
1.0
5.396 0.000 0.000
0.000 5.396 0.000
0.000 0.000 6.930
La Bi P Br
1 1 1 2
direct
0.000 0.000 0.000
0.000 0.000 0.500
0.500 0.500 0.000
0.000 0.500 0.500
0.500 0.000 0.500
```

Calculated values
Size of the total moment, μB per atom: 0.20
Space group: P4/mmm, No. 123
E_form (uncorrected), eV per atom: 0.08

Below is an optimized crystal structure of LaY2Er3Te6, with properties calculated at the PBE-GGA level.

Cell and atoms, written as POSCAR:
```
LaY2Er3Te6
1.0
9.565 -2.176 0.000
9.565 2.176 0.000
-2.115 0.000 8.563
La Y Er Te
1 2 3 6
direct
0.000 0.000 0.000
0.335 0.335 0.670
0.665 0.665 0.330
0.000 0.000 0.500
0.338 0.338 0.168
0.662 0.662 0.832
0.167 0.167 0.585
0.174 0.174 0.083
0.499 0.499 0.736
0.501 0.501 0.264
0.826 0.826 0.917
0.833 0.833 0.415
```

Calculated values
Size of the total moment, μB per atom: 0.00
Space group: C2/m, No. 12
E_form (uncorrected), eV per atom: -1.31

Below is an optimized crystal structure of Cr2RuAu, with properties calculated at the PBE-GGA level.

Cell and atoms, written as POSCAR:
```
Cr2RuAu
1.0
1.352 0.780 8.860
-1.352 0.780 8.860
0.000 -1.561 8.860
Cr Ru Au
2 1 1
direct
0.245 0.245 0.245
0.755 0.755 0.755
0.500 0.500 0.500
0.000 0.000 0.000
```

Calculated values
Formation energy, kJ per mole of atoms: 35.6
Size of the total moment, μB per atom: 0.00
Space group: R-3m, No. 166

Below is an optimized crystal structure of LaBeZn2Te, with properties calculated at the PBE-GGA level.

Cell and atoms, written as POSCAR:
```
LaBeZn2Te
1.0
5.695 0.000 0.000
0.000 5.695 0.000
0.000 0.000 5.341
La Be Zn Te
1 1 2 1
direct
0.000 0.000 0.000
0.000 0.000 0.500
0.000 0.500 0.000
0.500 0.000 0.000
0.500 0.500 0.500
```

Calculated values
Size of the total moment, μB per atom: 0.00
Space group: P4/mmm, No. 123
E_form (uncorrected), eV per atom: 1.09

Below is an optimized crystal structure of In2SiBr, with properties calculated at the PBE-GGA level.

Cell and atoms, written as POSCAR:
```
In2SiBr
1.0
0.000 3.677 3.677
3.677 0.000 3.677
3.677 3.677 0.000
In Si Br
2 1 1
direct
0.000 0.000 0.000
0.250 0.250 0.250
0.750 0.750 0.750
0.500 0.500 0.500
```

Calculated values
E above lowest polymorph, eV per formula unit: 1.500
Size of the total moment, μB per atom: 0.00
Space group: F-43m, No. 216
E_form (uncorrected), eV per atom: 0.33

Below is an optimized crystal structure of YMgSc2N, with properties calculated at the PBE-GGA level.

Cell and atoms, written as POSCAR:
```
YMgSc2N
1.0
4.537 0.000 0.000
0.000 4.537 0.000
0.000 0.000 4.880
Y Mg Sc N
1 1 2 1
direct
0.000 0.000 0.000
0.500 0.500 0.000
0.000 0.500 0.500
0.500 0.000 0.500
0.000 0.000 0.500
```

Calculated values
E above lowest polymorph, eV per formula unit: 0.000
Size of the total moment, μB per atom: 0.00
Space group: P4/mmm, No. 123
E_form (uncorrected), eV per atom: -0.76

Below is an optimized crystal structure of AlNiP2, with properties calculated at the PBE-GGA level.

Cell and atoms, written as POSCAR:
```
AlNiP2
1.0
-1.616 1.670 5.295
1.616 -1.670 5.295
1.616 1.670 -5.295
Al Ni P
1 1 2
direct
0.000 0.000 0.000
0.250 0.750 0.500
0.405 0.405 0.000
0.679 0.179 0.500
```

Calculated values
Formation energy, kJ per mole of atoms: -6.4
Size of the total moment, μB per atom: 0.00
Space group: Imm2, No. 44

Energy for every record listed, in sequence, given in eV per atom: -3.67, -3.43, -5.51, -7.58, -1.78, -2.82, -6.57, -5.15.